Below is an optimized crystal structure of CdCo2P, with properties calculated at the PBE level.

Output
ΔE_f ... 0.086 eV per atom
Calculated total energy ... -5.048 eV per atom
ΔE to the lowest computed polymorph ... 225 meV/atom

Unit cell a=4.0663 b=2.8990 c=5.1080 alpha=73.62 beta=90.00 gamma=90.00
Last column: nearest neighbours and their distance in Å.
Atoms (fractional coordinates):
1 P 0.0000 0.3598 0.4045  4 Co 2.14-2.19
2 Cd 0.5000 0.6875 0.7539  3 Co 2.53-2.78
3 Co 0.5000 0.4269 0.2706  2 P 2.14
4 Co 0.0000 0.0258 0.0709  2 P 2.18-2.19